Entry 1:
First-principles (PBE) data for an optimized crystal structure of NaV4N2, as listed in the Alexandria database.

The structure in CIF format:
```
data_NaV4N2
_cell_length_a 4.584
_cell_length_b 4.584
_cell_length_c 10.212
_cell_angle_alpha 90.00
_cell_angle_beta 90.00
_cell_angle_gamma 90.00
_space_group_name_H-M_alt 'I 4/m m m'
_space_group_IT_number 139
_space_group_name_Hall '-I 4 2'
loop_
_atom_site_label
_atom_site_type_symbol
_atom_site_fract_x
_atom_site_fract_y
_atom_site_fract_z
_atom_site_occupancy
Na1 Na 0.000 0.000 0.000 1
V1 V 0.000 0.000 0.264 1
V2 V 0.000 0.500 0.000 1
N1 N 0.000 0.000 0.437 1
```

Results
As for the density of states at the Fermi level: 15.3 states/eV per cell. The calculation puts the total energy at -6.42 eV/atom.

=====

Entry 2:
First-principles (PBE) data for an optimized crystal structure of Nd4SmTm7, as listed in the Alexandria database.

The structure in CIF format:
```
data_Nd4SmTm7
_cell_length_a 7.099
_cell_length_b 7.923
_cell_length_c 7.970
_cell_angle_alpha 72.94
_cell_angle_beta 77.54
_cell_angle_gamma 63.81
_space_group_name_H-M_alt 'P -1'
_space_group_IT_number 2
loop_
_space_group_symop_operation_xyz
'x,y,z'
'-x,-y,-z'
loop_
_atom_site_label
_atom_site_type_symbol
_atom_site_fract_x
_atom_site_fract_y
_atom_site_fract_z
_atom_site_occupancy
Nd1 Nd 0.083 0.169 0.332 1
Nd2 Nd 0.335 0.665 0.332 1
Sm1 Sm 0.500 0.000 0.000 1
Tm1 Tm 0.000 0.000 0.000 1
Tm2 Tm 0.167 0.331 0.669 1
Tm3 Tm 0.249 0.502 0.999 1
Tm4 Tm 0.416 0.834 0.668 1
```

Results
As for the distance to the lowest polymorph of the same formula: 0 meV per atom. Its energy of formation from the pure elements is 0.023 eV per atom. As for the density of states at the Fermi level: 15.8 states/eV per cell.

=====

Entry 3:
First-principles (PBE) data for an optimized crystal structure of Tl5Rh, as listed in the Alexandria database.

The structure in CIF format:
```
data_Tl5Rh
_cell_length_a 6.7900
_cell_length_b 6.7900
_cell_length_c 4.2548
_cell_angle_alpha 90.00
_cell_angle_beta 90.00
_cell_angle_gamma 120.00
_space_group_name_H-M_alt 'P -6 2 m'
_space_group_IT_number 189
_space_group_name_Hall 'P -6 -2'
loop_
_atom_site_label
_atom_site_type_symbol
_atom_site_fract_x
_atom_site_fract_y
_atom_site_fract_z
_atom_site_occupancy
Tl1 Tl 0.0000 0.2801 0.0000 1
Tl2 Tl 0.3333 0.6667 0.5000 1
Rh1 Rh 0.0000 0.0000 0.5000 1
```

Results
As for the distance to the lowest polymorph of the same formula: 93 meV per atom. Its energy of formation from the pure elements is 0.178 eV per atom. As for the density of states at the Fermi level: 3.5 states/eV per cell.

=====

Entry 4:
First-principles (PBE) data for an optimized crystal structure of NaTbZnCl6, as listed in the Alexandria database.

The structure in CIF format:
```
data_NaTbZnCl6
_cell_length_a 6.6418
_cell_length_b 6.6418
_cell_length_c 12.5647
_cell_angle_alpha 90.00
_cell_angle_beta 90.00
_cell_angle_gamma 120.00
_space_group_name_H-M_alt 'P -3 1 c'
_space_group_IT_number 163
_space_group_name_Hall '-P 3 2c'
loop_
_atom_site_label
_atom_site_type_symbol
_atom_site_fract_x
_atom_site_fract_y
_atom_site_fract_z
_atom_site_occupancy
Na1 Na 0.0000 0.0000 0.0000 1
Tb1 Tb 0.3333 0.6667 0.2500 1
Zn1 Zn 0.3333 0.6667 0.7500 1
Cl1 Cl 0.0189 0.3672 0.6343 1
```

Results
As for the density of states at the Fermi level: 0.0 states/eV per cell. The calculation puts the total energy at -3.80 eV/atom.

=====

Entry 5:
First-principles (PBE) data for an optimized crystal structure of Si3Rh, as listed in the Alexandria database.

The structure in CIF format:
```
data_Si3Rh
_cell_length_a 5.804
_cell_length_b 6.987
_cell_length_c 5.949
_cell_angle_alpha 90.00
_cell_angle_beta 90.00
_cell_angle_gamma 90.00
_space_group_name_H-M_alt 'P n m a'
_space_group_IT_number 62
loop_
_space_group_symop_operation_xyz
'x,y,z'
'-x,-y,-z'
'-x+1/2,-y,z+1/2'
'x+1/2,y,-z+1/2'
'x+1/2,-y+1/2,-z+1/2'
'-x+1/2,y+1/2,z+1/2'
'-x,y+1/2,-z'
'x,-y+1/2,z'
loop_
_atom_site_label
_atom_site_type_symbol
_atom_site_fract_x
_atom_site_fract_y
_atom_site_fract_z
_atom_site_occupancy
Si1 Si 0.069 0.250 0.112 1
Si2 Si 0.179 0.570 0.349 1
Rh1 Rh 0.175 0.250 0.511 1
```

Results
As for the density of states at the Fermi level: 4.7 states/eV per cell. The calculation puts the total energy at -6.13 eV/atom.

=====

Entry 6:
First-principles (PBE) data for an optimized crystal structure of CdGeSb2, as listed in the Alexandria database.

The structure in CIF format:
```
data_CdGeSb2
_cell_length_a 3.5607
_cell_length_b 3.5607
_cell_length_c 30.3876
_cell_angle_alpha 90.00
_cell_angle_beta 90.00
_cell_angle_gamma 120.00
_space_group_name_H-M_alt 'R -3 m'
_space_group_IT_number 166
_space_group_name_Hall '-R 3 2"'
loop_
_atom_site_label
_atom_site_type_symbol
_atom_site_fract_x
_atom_site_fract_y
_atom_site_fract_z
_atom_site_occupancy
Cd1 Cd 0.0000 0.0000 0.0000 1
Ge1 Ge 0.0000 0.0000 0.5000 1
Sb1 Sb 0.0000 0.0000 0.1004 1
```

Results
As for the density of states at the Fermi level: 3.9 states/eV per cell. The calculation puts the total energy at -3.18 eV/atom.

=====

Entry 7:
First-principles (PBE) data for an optimized crystal structure of Sr2LiErSe4, as listed in the Alexandria database.

The structure in CIF format:
```
data_Sr2LiErSe4
_cell_length_a 7.317
_cell_length_b 4.258
_cell_length_c 7.325
_cell_angle_alpha 90.00
_cell_angle_beta 108.78
_cell_angle_gamma 90.00
_space_group_name_H-M_alt 'P 1 2/m 1'
_space_group_IT_number 10
loop_
_space_group_symop_operation_xyz
'x,y,z'
'-x,-y,-z'
'-x,y,-z'
'x,-y,z'
loop_
_atom_site_label
_atom_site_type_symbol
_atom_site_fract_x
_atom_site_fract_y
_atom_site_fract_z
_atom_site_occupancy
Sr1 Sr 0.000 0.000 0.000 1
Sr2 Sr 0.000 0.500 0.500 1
Li1 Li 0.500 0.000 0.500 1
Er1 Er 0.500 0.500 0.000 1
Se1 Se 0.273 0.500 0.250 1
Se2 Se 0.276 0.000 0.760 1
```

Results
As for the density of states at the Fermi level: 0.0 states/eV per cell. The calculation puts the total energy at -4.80 eV/atom.

=====

Entry 8:
First-principles (PBE) data for an optimized crystal structure of KCaH3, as listed in the Alexandria database.

The structure in CIF format:
```
data_KCaH3
_cell_length_a 6.244
_cell_length_b 8.855
_cell_length_c 6.282
_cell_angle_alpha 90.00
_cell_angle_beta 90.00
_cell_angle_gamma 90.00
_space_group_name_H-M_alt 'P n m a'
_space_group_IT_number 62
loop_
_space_group_symop_operation_xyz
'x,y,z'
'-x,-y,-z'
'-x+1/2,-y,z+1/2'
'x+1/2,y,-z+1/2'
'x+1/2,-y+1/2,-z+1/2'
'-x+1/2,y+1/2,z+1/2'
'-x,y+1/2,-z'
'x,-y+1/2,z'
loop_
_atom_site_label
_atom_site_type_symbol
_atom_site_fract_x
_atom_site_fract_y
_atom_site_fract_z
_atom_site_occupancy
K1 K 0.016 0.250 0.002 1
Ca1 Ca 0.000 0.000 0.500 1
H1 H 0.014 0.750 0.440 1
H2 H 0.221 0.531 0.779 1
```

Results
As for the density of states at the Fermi level: 0.0 states/eV per cell. The calculation puts the total energy at -3.03 eV/atom.

=====

Entry 9:
First-principles (PBE) data for an optimized crystal structure of Ce2UAs3Rh4, as listed in the Alexandria database.

The structure in CIF format:
```
data_Ce2UAs3Rh4
_cell_length_a 4.166
_cell_length_b 4.166
_cell_length_c 11.172
_cell_angle_alpha 90.00
_cell_angle_beta 90.00
_cell_angle_gamma 90.00
_space_group_name_H-M_alt 'P -4 m 2'
_space_group_IT_number 115
loop_
_space_group_symop_operation_xyz
'x,y,z'
'y,-x,-z'
'-x,-y,z'
'-y,x,-z'
'-x,y,z'
'-y,-x,-z'
'x,-y,z'
'y,x,-z'
loop_
_atom_site_label
_atom_site_type_symbol
_atom_site_fract_x
_atom_site_fract_y
_atom_site_fract_z
_atom_site_occupancy
Ce1 Ce 0.000 0.500 0.228 1
U1 U 0.000 0.000 0.500 1
As1 As 0.000 0.500 0.872 1
As2 As 0.500 0.500 0.500 1
Rh1 Rh 0.000 0.000 0.000 1
Rh2 Rh 0.000 0.500 0.653 1
Rh3 Rh 0.500 0.500 0.000 1
```

Results
Its energy of formation from the pure elements is -0.841 eV per atom. As for the density of states at the Fermi level: 17.0 states/eV per cell.

=====

Entry 10:
First-principles (PBE) data for an optimized crystal structure of YAg2Pt2, as listed in the Alexandria database.

The structure in CIF format:
```
data_YAg2Pt2
_cell_length_a 7.187
_cell_length_b 7.187
_cell_length_c 3.826
_cell_angle_alpha 90.00
_cell_angle_beta 90.00
_cell_angle_gamma 90.00
_space_group_name_H-M_alt 'P 4/m b m'
_space_group_IT_number 127
_space_group_name_Hall '-P 4 2ab'
loop_
_atom_site_label
_atom_site_type_symbol
_atom_site_fract_x
_atom_site_fract_y
_atom_site_fract_z
_atom_site_occupancy
Y1 Y 0.000 0.000 0.000 1
Ag1 Ag 0.164 0.336 0.500 1
Pt1 Pt 0.132 0.632 0.000 1
```

Results
As for the distance to the lowest polymorph of the same formula: 132 meV per atom. Its energy of formation from the pure elements is -0.371 eV per atom. As for the density of states at the Fermi level: 4.2 states/eV per cell.

=====

Entry 11:
First-principles (PBE) data for an optimized crystal structure of ThTcBC, as listed in the Alexandria database.

The structure in CIF format:
```
data_ThTcBC
_cell_length_a 3.731
_cell_length_b 3.731
_cell_length_c 8.311
_cell_angle_alpha 90.00
_cell_angle_beta 90.00
_cell_angle_gamma 90.00
_space_group_name_H-M_alt 'P 4/n m m'
_space_group_IT_number 129
loop_
_space_group_symop_operation_xyz
'x,y,z'
'-x,-y,-z'
'-y+1/2,x,z'
'y+1/2,-x,-z'
'-x+1/2,-y+1/2,z'
'x+1/2,y+1/2,-z'
'y,-x+1/2,z'
'-y,x+1/2,-z'
'x+1/2,-y,-z'
'-x+1/2,y,z'
'-y,-x,-z'
'y,x,z'
'-x,y+1/2,-z'
'x,-y+1/2,z'
'y+1/2,x+1/2,-z'
'-y+1/2,-x+1/2,z'
loop_
_atom_site_label
_atom_site_type_symbol
_atom_site_fract_x
_atom_site_fract_y
_atom_site_fract_z
_atom_site_occupancy
Th1 Th 0.250 0.250 0.167 1
Tc1 Tc 0.250 0.750 0.500 1
B1 B 0.250 0.250 0.675 1
C1 C 0.250 0.250 0.862 1
```

Results
Its energy of formation from the pure elements is -0.405 eV per atom. As for the density of states at the Fermi level: 5.5 states/eV per cell.

=====

Entry 12:
First-principles (PBE) data for an optimized crystal structure of CrTc2Ni, as listed in the Alexandria database.

The structure in CIF format:
```
data_CrTc2Ni
_cell_length_a 2.645
_cell_length_b 3.704
_cell_length_c 5.314
_cell_angle_alpha 90.00
_cell_angle_beta 90.00
_cell_angle_gamma 90.00
_space_group_name_H-M_alt 'P m m m'
_space_group_IT_number 47
loop_
_space_group_symop_operation_xyz
'x,y,z'
'-x,-y,-z'
'-x,-y,z'
'x,y,-z'
'x,-y,-z'
'-x,y,z'
'-x,y,-z'
'x,-y,z'
loop_
_atom_site_label
_atom_site_type_symbol
_atom_site_fract_x
_atom_site_fract_y
_atom_site_fract_z
_atom_site_occupancy
Cr1 Cr 0.000 0.000 0.000 1
Tc1 Tc 0.500 0.500 0.243 1
Ni1 Ni 0.000 0.000 0.500 1
```

Results
As for the distance to the lowest polymorph of the same formula: 80 meV per atom. Its energy of formation from the pure elements is 0.101 eV per atom. As for the density of states at the Fermi level: 4.4 states/eV per cell.